The following is a DFT calculation (GGA-PBE) of a relaxed Nd6Si2GeSe3 crystal.

## Properties
The energy relative to the elements, uncorrected comes out at -1.33 eV per atom. For the size of the total moment, the calculation gives 0.0 μB per cell. The calculation puts the total energy at -5.87 eV per atom.

```
Nd6Si2GeSe3
1.0
4.2663 0.0000 0.0000
0.0000 8.5761 0.2461
-2.1331 -2.5368 8.9910
Nd Si Ge Se
6 2 1 3
direct
0.3348 0.9101 0.6696
0.6690 0.5770 0.3380
0.6652 0.0899 0.3304
0.0024 0.2456 0.0048
0.9976 0.7544 0.9952
0.3310 0.4230 0.6620
0.8333 0.6668 0.6666
0.1667 0.3332 0.3334
0.5000 0.0000 0.0000
0.5000 0.5000 0.0000
0.8335 0.1670 0.6670
0.1665 0.8330 0.3330
```